The following is a PBE calculation of an optimized crystal structure of Tm3Mg3TlIn2, from OQMD via LeMat-Bulk.

The structure in CIF format:
```
data_Tm3Mg3TlIn2
_cell_length_a 7.4471
_cell_length_b 7.4471
_cell_length_c 4.6340
_cell_angle_alpha 90.00
_cell_angle_beta 90.00
_cell_angle_gamma 120.00
_symmetry_space_group_name_H-M 'P -6 2 m'
_symmetry_Int_Tables_number 189
_symmetry_space_group_name_Hall 'P -6 -2'
loop_
_atom_site_label
_atom_site_fract_x
_atom_site_fract_y
_atom_site_fract_z
Tm1 0.0000 0.4356 0.0000
Mg1 0.0000 0.7574 0.5000
Tl1 0.0000 0.0000 0.0000
In1 0.3333 0.6667 0.5000
```

The following is a PBE calculation of an optimized crystal structure of TmMgIn, from OQMD via LeMat-Bulk.

The structure in CIF format:
```
data_TmMgIn
_cell_length_a 7.4642
_cell_length_b 7.4642
_cell_length_c 4.6207
_cell_angle_alpha 90.00
_cell_angle_beta 90.00
_cell_angle_gamma 120.00
_symmetry_space_group_name_H-M 'P -6 2 m'
_symmetry_Int_Tables_number 189
_symmetry_space_group_name_Hall 'P -6 -2'
loop_
_atom_site_label
_atom_site_fract_x
_atom_site_fract_y
_atom_site_fract_z
Tm1 0.0000 0.5697 0.0000
Mg1 0.0000 0.0000 0.0000
Mg2 0.3333 0.6667 0.5000
In1 0.0000 0.2505 0.5000
```

The following is a PBE calculation of an optimized crystal structure of TmMgIn, from OQMD via LeMat-Bulk.

The structure in CIF format:
```
data_TmMgIn
_cell_length_a 7.118
_cell_length_b 7.118
_cell_length_c 7.118
_cell_angle_alpha 90.00
_cell_angle_beta 90.00
_cell_angle_gamma 90.00
_symmetry_space_group_name_H-M 'F -4 3 m'
_symmetry_Int_Tables_number 216
_symmetry_space_group_name_Hall 'F -4 2 3'
loop_
_atom_site_label
_atom_site_fract_x
_atom_site_fract_y
_atom_site_fract_z
Tm1 0.000 0.000 0.000
Mg1 0.250 0.250 0.250
In1 0.250 0.250 0.750
```

The following is a PBE calculation of an optimized crystal structure of TmMgIn, from OQMD via LeMat-Bulk.

The structure in CIF format:
```
data_TmMgIn
_cell_length_a 7.4063
_cell_length_b 7.4063
_cell_length_c 4.6421
_cell_angle_alpha 90.00
_cell_angle_beta 90.00
_cell_angle_gamma 120.00
_symmetry_space_group_name_H-M 'P -6 2 m'
_symmetry_Int_Tables_number 189
_symmetry_space_group_name_Hall 'P -6 -2'
loop_
_atom_site_label
_atom_site_fract_x
_atom_site_fract_y
_atom_site_fract_z
Tm1 0.0000 0.5610 0.0000
Mg1 0.0000 0.2404 0.5000
In1 0.0000 0.0000 0.0000
In2 0.3333 0.6667 0.5000
```

The following is a PBE calculation of an optimized crystal structure of TmMgIn, from OQMD via LeMat-Bulk.

The structure in CIF format:
```
data_TmMgIn
_cell_length_a 8.4161
_cell_length_b 8.4161
_cell_length_c 3.6836
_cell_angle_alpha 90.00
_cell_angle_beta 90.00
_cell_angle_gamma 120.00
_symmetry_space_group_name_H-M 'P -6 2 m'
_symmetry_Int_Tables_number 189
_symmetry_space_group_name_Hall 'P -6 -2'
loop_
_atom_site_label
_atom_site_fract_x
_atom_site_fract_y
_atom_site_fract_z
Tm1 0.0000 0.2857 0.0000
Mg1 0.0000 0.6168 0.5000
In1 0.0000 0.0000 0.5000
In2 0.3333 0.6667 0.0000
```

The following is a PBE calculation of an optimized crystal structure of Tm3Mg3ZnIn2, from OQMD via LeMat-Bulk.

The structure in CIF format:
```
data_Tm3Mg3ZnIn2
_cell_length_a 7.4273
_cell_length_b 7.4273
_cell_length_c 4.5036
_cell_angle_alpha 90.00
_cell_angle_beta 90.00
_cell_angle_gamma 120.00
_symmetry_space_group_name_H-M 'P -6 2 m'
_symmetry_Int_Tables_number 189
_symmetry_space_group_name_Hall 'P -6 -2'
loop_
_atom_site_label
_atom_site_fract_x
_atom_site_fract_y
_atom_site_fract_z
Tm1 0.0000 0.4175 0.0000
Mg1 0.0000 0.7638 0.5000
Zn1 0.0000 0.0000 0.0000
In1 0.3333 0.6667 0.5000
```

The following is a PBE calculation of an optimized crystal structure of MgUIn, from OQMD via LeMat-Bulk.

The structure in CIF format:
```
data_MgUIn
_cell_length_a 7.242
_cell_length_b 7.242
_cell_length_c 7.242
_cell_angle_alpha 90.00
_cell_angle_beta 90.00
_cell_angle_gamma 90.00
_symmetry_space_group_name_H-M 'F -4 3 m'
_symmetry_Int_Tables_number 216
_symmetry_space_group_name_Hall 'F -4 2 3'
loop_
_atom_site_label
_atom_site_fract_x
_atom_site_fract_y
_atom_site_fract_z
Mg1 0.000 0.000 0.000
U1 0.250 0.250 0.750
In1 0.000 0.000 0.500
```

The following is a PBE calculation of an optimized crystal structure of MgUIn, from OQMD via LeMat-Bulk.

The structure in CIF format:
```
data_MgUIn
_cell_length_a 7.104
_cell_length_b 7.104
_cell_length_c 7.104
_cell_angle_alpha 90.00
_cell_angle_beta 90.00
_cell_angle_gamma 90.00
_symmetry_space_group_name_H-M 'F -4 3 m'
_symmetry_Int_Tables_number 216
_symmetry_space_group_name_Hall 'F -4 2 3'
loop_
_atom_site_label
_atom_site_fract_x
_atom_site_fract_y
_atom_site_fract_z
Mg1 0.000 0.000 0.000
U1 0.000 0.000 0.500
In1 0.250 0.250 0.250
```

The following is a PBE calculation of an optimized crystal structure of MgZrIn, from OQMD via LeMat-Bulk.

The structure in CIF format:
```
data_MgZrIn
_cell_length_a 4.545
_cell_length_b 4.200
_cell_length_c 13.771
_cell_angle_alpha 90.00
_cell_angle_beta 90.00
_cell_angle_gamma 90.00
_symmetry_space_group_name_H-M 'A m m 2'
_symmetry_Int_Tables_number 38
loop_
_symmetry_equiv_pos_as_xyz
'x,y,z'
'-x,-y,z'
'-x,y,z'
'x,-y,z'
'x,y+1/2,z+1/2'
'-x,-y+1/2,z+1/2'
'-x,y+1/2,z+1/2'
'x,-y+1/2,z+1/2'
loop_
_atom_site_label
_atom_site_fract_x
_atom_site_fract_y
_atom_site_fract_z
Mg1 0.000 0.000 0.000
Mg2 0.000 0.000 0.330
Zr1 0.500 0.000 0.170
Zr2 0.500 0.000 0.494
In1 0.000 0.000 0.654
In2 0.500 0.000 0.836
```

The following is a PBE calculation of an optimized crystal structure of InMo2, from OQMD via LeMat-Bulk.

The structure in CIF format:
```
data_InMo2
_cell_length_a 6.260
_cell_length_b 6.260
_cell_length_c 6.260
_cell_angle_alpha 90.00
_cell_angle_beta 90.00
_cell_angle_gamma 90.00
_symmetry_space_group_name_H-M 'F m -3 m'
_symmetry_Int_Tables_number 225
_symmetry_space_group_name_Hall '-F 4 2 3'
loop_
_atom_site_label
_atom_site_fract_x
_atom_site_fract_y
_atom_site_fract_z
In1 0.000 0.000 0.000
Mo1 0.250 0.250 0.250
```

The following is a PBE calculation of an optimized crystal structure of In2MoN, from OQMD via LeMat-Bulk.

The structure in CIF format:
```
data_In2MoN
_cell_length_a 3.1587
_cell_length_b 3.1587
_cell_length_c 14.8387
_cell_angle_alpha 90.00
_cell_angle_beta 90.00
_cell_angle_gamma 120.00
_symmetry_space_group_name_H-M 'P 63/m m c'
_symmetry_Int_Tables_number 194
_symmetry_space_group_name_Hall '-P 6c 2c'
loop_
_atom_site_label
_atom_site_fract_x
_atom_site_fract_y
_atom_site_fract_z
In1 0.3333 0.6667 0.0965
Mo1 0.3333 0.6667 0.7500
N1 0.0000 0.0000 0.0000
```

The following is a PBE calculation of an optimized crystal structure of InMo3N5, from OQMD via LeMat-Bulk.

The structure in CIF format:
```
data_InMo3N5
_cell_length_a 5.2366
_cell_length_b 5.2366
_cell_length_c 5.5506
_cell_angle_alpha 90.00
_cell_angle_beta 90.00
_cell_angle_gamma 120.00
_symmetry_space_group_name_H-M 'P 6/m m m'
_symmetry_Int_Tables_number 191
_symmetry_space_group_name_Hall '-P 6 2'
loop_
_atom_site_label
_atom_site_fract_x
_atom_site_fract_y
_atom_site_fract_z
In1 0.0000 0.0000 0.0000
Mo1 0.0000 0.5000 0.5000
N1 0.0000 0.0000 0.5000
N2 0.3333 0.6667 0.2540
```

The following is a PBE calculation of an optimized crystal structure of InMo3N2, from OQMD via LeMat-Bulk.

The structure in CIF format:
```
data_InMo3N2
_cell_length_a 3.1902
_cell_length_b 3.1902
_cell_length_c 18.1488
_cell_angle_alpha 90.00
_cell_angle_beta 90.00
_cell_angle_gamma 120.00
_symmetry_space_group_name_H-M 'P 63/m m c'
_symmetry_Int_Tables_number 194
_symmetry_space_group_name_Hall '-P 6c 2c'
loop_
_atom_site_label
_atom_site_fract_x
_atom_site_fract_y
_atom_site_fract_z
In1 0.0000 0.0000 0.2500
Mo1 0.0000 0.0000 0.0000
Mo2 0.3333 0.6667 0.1206
N1 0.3333 0.6667 0.5656
```

The following is a PBE calculation of an optimized crystal structure of InMo3N, from OQMD via LeMat-Bulk.

The structure in CIF format:
```
data_InMo3N
_cell_length_a 4.186
_cell_length_b 4.186
_cell_length_c 4.186
_cell_angle_alpha 90.00
_cell_angle_beta 90.00
_cell_angle_gamma 90.00
_symmetry_space_group_name_H-M 'P m -3 m'
_symmetry_Int_Tables_number 221
_symmetry_space_group_name_Hall '-P 4 2 3'
loop_
_atom_site_label
_atom_site_fract_x
_atom_site_fract_y
_atom_site_fract_z
In1 0.000 0.000 0.000
Mo1 0.000 0.500 0.500
N1 0.500 0.500 0.500
```

The following is a PBE calculation of an optimized crystal structure of Nb2In3Mo4N3, from OQMD via LeMat-Bulk.

The structure in CIF format:
```
data_Nb2In3Mo4N3
_cell_length_a 9.562
_cell_length_b 5.513
_cell_length_c 14.158
_cell_angle_alpha 90.00
_cell_angle_beta 102.96
_cell_angle_gamma 90.00
_symmetry_space_group_name_H-M 'C 1 2/c 1'
_symmetry_Int_Tables_number 15
loop_
_symmetry_equiv_pos_as_xyz
'x,y,z'
'-x,-y,-z'
'-x,y,-z+1/2'
'x,-y,z+1/2'
'x+1/2,y+1/2,z'
'-x+1/2,-y+1/2,-z'
'-x+1/2,y+1/2,-z+1/2'
'x+1/2,-y+1/2,z+1/2'
loop_
_atom_site_label
_atom_site_fract_x
_atom_site_fract_y
_atom_site_fract_z
Nb1 0.062 0.088 0.416
In1 0.000 0.431 0.250
In2 0.174 0.092 0.748
Mo1 0.110 0.430 0.578
Mo2 0.218 0.409 0.923
N1 0.080 0.241 0.000
N2 0.250 0.250 0.500
```

The following is a PBE calculation of an optimized crystal structure of Nb4In3Mo2N3, from OQMD via LeMat-Bulk.

The structure in CIF format:
```
data_Nb4In3Mo2N3
_cell_length_a 9.610
_cell_length_b 5.534
_cell_length_c 14.351
_cell_angle_alpha 90.00
_cell_angle_beta 102.75
_cell_angle_gamma 90.00
_symmetry_space_group_name_H-M 'C 1 2/c 1'
_symmetry_Int_Tables_number 15
loop_
_symmetry_equiv_pos_as_xyz
'x,y,z'
'-x,-y,-z'
'-x,y,-z+1/2'
'x,-y,z+1/2'
'x+1/2,y+1/2,z'
'-x+1/2,-y+1/2,-z'
'-x+1/2,y+1/2,-z+1/2'
'x+1/2,-y+1/2,z+1/2'
loop_
_atom_site_label
_atom_site_fract_x
_atom_site_fract_y
_atom_site_fract_z
Nb1 0.111 0.097 0.082
Nb2 0.229 0.075 0.418
In1 0.000 0.093 0.750
In2 0.162 0.422 0.252
Mo1 0.050 0.423 0.922
N1 0.087 0.242 0.500
N2 0.250 0.250 0.000
```

The following is a PBE calculation of an optimized crystal structure of InNiMo4N2, from OQMD via LeMat-Bulk.

The structure in CIF format:
```
data_InNiMo4N2
_cell_length_a 2.8741
_cell_length_b 2.8741
_cell_length_c 14.6836
_cell_angle_alpha 90.00
_cell_angle_beta 90.00
_cell_angle_gamma 120.00
_symmetry_space_group_name_H-M 'P -6 m 2'
_symmetry_Int_Tables_number 187
_symmetry_space_group_name_Hall 'P -6 2'
loop_
_atom_site_label
_atom_site_fract_x
_atom_site_fract_y
_atom_site_fract_z
In1 0.0000 0.0000 0.0000
Ni1 0.3333 0.6667 0.5000
Mo1 0.0000 0.0000 0.3563
Mo2 0.3333 0.6667 0.1674
N1 0.6667 0.3333 0.2605
```

The following is a PBE calculation of an optimized crystal structure of InMo4PN2, from OQMD via LeMat-Bulk.

The structure in CIF format:
```
data_InMo4PN2
_cell_length_a 3.0130
_cell_length_b 3.0130
_cell_length_c 13.5383
_cell_angle_alpha 90.00
_cell_angle_beta 90.00
_cell_angle_gamma 120.00
_symmetry_space_group_name_H-M 'P -6 m 2'
_symmetry_Int_Tables_number 187
_symmetry_space_group_name_Hall 'P -6 2'
loop_
_atom_site_label
_atom_site_fract_x
_atom_site_fract_y
_atom_site_fract_z
In1 0.0000 0.0000 0.0000
Mo1 0.0000 0.0000 0.3695
Mo2 0.3333 0.6667 0.1775
P1 0.3333 0.6667 0.5000
N1 0.6667 0.3333 0.2685
```

The following is a PBE calculation of an optimized crystal structure of InMo4PN2, from OQMD via LeMat-Bulk.

The structure in CIF format:
```
data_InMo4PN2
_cell_length_a 3.0106
_cell_length_b 3.0106
_cell_length_c 13.5481
_cell_angle_alpha 90.00
_cell_angle_beta 90.00
_cell_angle_gamma 120.00
_symmetry_space_group_name_H-M 'P -6 m 2'
_symmetry_Int_Tables_number 187
_symmetry_space_group_name_Hall 'P -6 2'
loop_
_atom_site_label
_atom_site_fract_x
_atom_site_fract_y
_atom_site_fract_z
In1 0.0000 0.0000 0.0000
Mo1 0.0000 0.0000 0.3694
Mo2 0.6667 0.3333 0.1770
P1 0.6667 0.3333 0.5000
N1 0.3333 0.6667 0.2684
```

The following is a PBE calculation of an optimized crystal structure of InSbMo4N2, from OQMD via LeMat-Bulk.

The structure in CIF format:
```
data_InSbMo4N2
_cell_length_a 3.2668
_cell_length_b 3.2668
_cell_length_c 12.9999
_cell_angle_alpha 90.00
_cell_angle_beta 90.00
_cell_angle_gamma 120.00
_symmetry_space_group_name_H-M 'P -6 m 2'
_symmetry_Int_Tables_number 187
_symmetry_space_group_name_Hall 'P -6 2'
loop_
_atom_site_label
_atom_site_fract_x
_atom_site_fract_y
_atom_site_fract_z
In1 0.0000 0.0000 0.0000
Sb1 0.6667 0.3333 0.5000
Mo1 0.0000 0.0000 0.3309
Mo2 0.6667 0.3333 0.1782
N1 0.3333 0.6667 0.2546
```

The following is a PBE calculation of an optimized crystal structure of Sc4In3Mo2N3, from OQMD via LeMat-Bulk.

The structure in CIF format:
```
data_Sc4In3Mo2N3
_cell_length_a 9.632
_cell_length_b 5.608
_cell_length_c 14.549
_cell_angle_alpha 90.00
_cell_angle_beta 102.42
_cell_angle_gamma 90.00
_symmetry_space_group_name_H-M 'C 1 2/c 1'
_symmetry_Int_Tables_number 15
loop_
_symmetry_equiv_pos_as_xyz
'x,y,z'
'-x,-y,-z'
'-x,y,-z+1/2'
'x,-y,z+1/2'
'x+1/2,y+1/2,z'
'-x+1/2,-y+1/2,-z'
'-x+1/2,y+1/2,-z+1/2'
'x+1/2,-y+1/2,z+1/2'
loop_
_atom_site_label
_atom_site_fract_x
_atom_site_fract_y
_atom_site_fract_z
Sc1 0.111 0.084 0.085
Sc2 0.222 0.083 0.415
In1 0.000 0.106 0.750
In2 0.155 0.430 0.250
Mo1 0.059 0.417 0.927
N1 0.085 0.245 0.500
N2 0.250 0.250 0.000
```

The following is a PBE calculation of an optimized crystal structure of InSnMo4N2, from OQMD via LeMat-Bulk.

The structure in CIF format:
```
data_InSnMo4N2
_cell_length_a 3.2298
_cell_length_b 3.2298
_cell_length_c 13.2720
_cell_angle_alpha 90.00
_cell_angle_beta 90.00
_cell_angle_gamma 120.00
_symmetry_space_group_name_H-M 'P -6 m 2'
_symmetry_Int_Tables_number 187
_symmetry_space_group_name_Hall 'P -6 2'
loop_
_atom_site_label
_atom_site_fract_x
_atom_site_fract_y
_atom_site_fract_z
In1 0.0000 0.0000 0.0000
Sn1 0.3333 0.6667 0.5000
Mo1 0.0000 0.0000 0.3286
Mo2 0.3333 0.6667 0.1757
N1 0.6667 0.3333 0.2521
```

Taking the records one at a time from the top gives raw total energy values of -28.9, -28.0, -32.1, -29.5, -27.8, -27.8, -50.6, -54.6, -54.1, -80.9, -45.2, -70.0, -103.5, -43.8, -395.9, -398.5, -67.8, -68.8, -68.8, -66.7, -362.7, -66.8 eV/cell.
Taking the records one at a time from the top gives total magnetic moment values of 0.0, 0.0, 0.0, 0.0, 0.0, 0.0, 3.0, 3.0, 0.0, 0.2, 0.0, 0.0, 0.0, 0.0, 0.0, 0.0, 0.0, 0.0, 0.0, 0.1, 0.0, 0.0 μB/f.u..